This record from Alexandria describes crystalline EuMnO3 at its relaxed geometry. The functional is PBE with a Hubbard U.

DOS at the Fermi energy = 7.4 states/eV per cell
mass density = 7.3 g cm⁻³
space group = Pm-3m, No. 221
crystal system = cubic
energy = -8.7098 eV per atom

Structure (extended XYZ):
```
5
Lattice="3.875 0.000 0.000 0.000 3.875 0.000 0.000 0.000 3.877" Properties=species:S:1:pos:R:3 pbc="T T T"
O 0.000 0.000 1.895
O 1.938 0.000 3.832
O 0.000 1.938 3.832
Eu 1.938 1.938 1.897
Mn 0.000 0.000 3.833
```